w.
# GGA-PBE Sn3BBr, relaxed
data_Sn3BBr
_chemical_formula_sum 'Sn3 B1 Br1'
_symmetry_space_group_name_H-M 'P 1'
_symmetry_Int_Tables_number 1
_symmetry_space_group_name_Hall 'P 1'
_cell_length_a 5.039
_cell_length_b 5.039
_cell_length_c 5.039
_cell_angle_alpha 90.00
_cell_angle_beta 90.00
_cell_angle_gamma 90.00
loop_
_atom_site_label
_atom_site_type_symbol
_atom_site_fract_x
_atom_site_fract_y
_atom_site_fract_z
Sn1 Sn 0.500 0.000 0.000
Sn2 Sn 0.000 0.000 0.500
Sn3 Sn 0.000 0.500 0.000
B1 B 0.000 0.000 0.000
Br1 Br 0.500 0.500 0.500
# Spin magnetization = 0.0 μB per cell
# SG = Pm-3m, No. 221

=====

x.
# GGA-PBE Sn3BBr, relaxed
data_Sn3BBr
_chemical_formula_sum 'Sn3 B1 Br1'
_symmetry_space_group_name_H-M 'P 1'
_symmetry_Int_Tables_number 1
_symmetry_space_group_name_Hall 'P 1'
_cell_length_a 5.583
_cell_length_b 5.583
_cell_length_c 5.583
_cell_angle_alpha 90.00
_cell_angle_beta 90.00
_cell_angle_gamma 90.00
loop_
_atom_site_label
_atom_site_type_symbol
_atom_site_fract_x
_atom_site_fract_y
_atom_site_fract_z
Sn1 Sn 0.500 0.000 0.000
Sn2 Sn 0.000 0.000 0.500
Sn3 Sn 0.000 0.500 0.000
Br1 Br 0.000 0.000 0.000
B1 B 0.500 0.500 0.500
# Spin magnetization = 0.0 μB per cell
# SG = Pm-3m, No. 221

=====

Tell me which of them is the least stable. Sure, it is x.

=====

w.
# GGA-PBE SrB3Br, relaxed
data_SrB3Br
_chemical_formula_sum 'Sr1 B3 Br1'
_symmetry_space_group_name_H-M 'P 1'
_symmetry_Int_Tables_number 1
_symmetry_space_group_name_Hall 'P 1'
_cell_length_a 4.442
_cell_length_b 4.442
_cell_length_c 4.442
_cell_angle_alpha 90.00
_cell_angle_beta 90.00
_cell_angle_gamma 90.00
loop_
_atom_site_label
_atom_site_type_symbol
_atom_site_fract_x
_atom_site_fract_y
_atom_site_fract_z
B1 B 0.000 0.500 0.000
B2 B 0.500 0.000 0.000
B3 B 0.000 0.000 0.500
Sr1 Sr 0.500 0.500 0.500
Br1 Br 0.000 0.000 0.000
# Spin magnetization = 0.0 μB per cell
# SG = Pm-3m, No. 221

=====

x.
# GGA-PBE SrB3Br, relaxed
data_SrB3Br
_chemical_formula_sum 'Sr1 B3 Br1'
_symmetry_space_group_name_H-M 'P 1'
_symmetry_Int_Tables_number 1
_symmetry_space_group_name_Hall 'P 1'
_cell_length_a 5.402
_cell_length_b 5.402
_cell_length_c 5.402
_cell_angle_alpha 90.00
_cell_angle_beta 90.00
_cell_angle_gamma 90.00
loop_
_atom_site_label
_atom_site_type_symbol
_atom_site_fract_x
_atom_site_fract_y
_atom_site_fract_z
B1 B 0.500 0.000 0.000
B2 B 0.000 0.000 0.500
B3 B 0.000 0.500 0.000
Sr1 Sr 0.000 0.000 0.000
Br1 Br 0.500 0.500 0.500
# Spin magnetization = 1.4 μB per cell
# SG = Pm-3m, No. 221

=====

Tell me which of them is the least stable. Sure, it is x.